An optimized crystal structure of BaTa6S12, computed with PBE.

Output
- Calculated volume: 377 Å³ per cell
- Space group: R-3m (166)
- ΔE_f (raw): -0.66 eV per atom

Cell lengths 7.520, 7.520, 7.520 Å; angles 104.32, 104.32, 104.32 degrees
Element x y z (fractional)
1 Ba 0.000 0.000 0.000
2 Ta 0.246 0.246 0.632
3 Ta 0.246 0.632 0.246
4 Ta 0.368 0.754 0.754
5 Ta 0.632 0.246 0.246
6 Ta 0.754 0.368 0.754
7 Ta 0.754 0.754 0.368
8 S 0.126 0.500 0.874
9 S 0.126 0.874 0.500
10 S 0.175 0.460 0.460
11 S 0.460 0.175 0.460
12 S 0.460 0.460 0.175
13 S 0.500 0.126 0.874
14 S 0.500 0.874 0.126
15 S 0.540 0.540 0.825
16 S 0.540 0.825 0.540
17 S 0.825 0.540 0.540
18 S 0.874 0.126 0.500
19 S 0.874 0.500 0.126